Entry 1:
DFT (PBE-GGA) results for HgPbNF2 after structural relaxation.

Calculated values
Energy above the most stable polymorph in this dataset   115.7 meV/atom
Raw formation energy   -0.24 eV/atom
Total magnetization   0.8 μB/f.u.
SG   P4/mmm (123)

Cell lengths 4.6844, 4.6844, 4.1402 Å; angles 90.00, 90.00, 90.00 degrees
With the nearest neighbours (Å) after each atom.
Fractional positions:
N (0.0000, 0.0000, 0.5000)  2 Hg 2.07
Hg (0.0000, 0.0000, 0.0000)  2 N 2.07
Pb (0.5000, 0.5000, 0.5000)  8 F 3.13, 4 N 3.31
F (0.0000, 0.5000, 0.0000)  2 Hg 2.34
F (0.5000, 0.0000, 0.0000)  2 Hg 2.34

=====

Entry 2:
DFT (PBE-GGA) results for HgPtNF2 after structural relaxation.

Calculated values
Energy above the most stable polymorph in this dataset   1001.1 meV/atom
Raw formation energy   0.88 eV/atom
Total magnetization   2.3 μB/f.u.
SG   P4/mmm (123)

Cell lengths 4.4568, 4.4568, 4.2527 Å; angles 90.00, 90.00, 90.00 degrees
With the nearest neighbours (Å) after each atom.
Fractional positions:
F (0.5000, 0.0000, 0.0000)  2 Hg 2.23
F (0.0000, 0.5000, 0.0000)  2 Hg 2.23
N (0.0000, 0.0000, 0.5000)  2 Hg 2.13
Pt (0.5000, 0.5000, 0.5000)  8 F 3.08, 4 N 3.15
Hg (0.0000, 0.0000, 0.0000)  2 N 2.13, 4 F 2.23

=====

Entry 3:
DFT (PBE-GGA) results for HgPtNF2 after structural relaxation.

Calculated values
Energy above the most stable polymorph in this dataset   0.0 meV/atom
Raw formation energy   -0.12 eV/atom
Total magnetization   0.0 μB/f.u.
SG   P4/mmm (123)

Cell lengths 4.5766, 4.5766, 3.7114 Å; angles 90.00, 90.00, 90.00 degrees
With the nearest neighbours (Å) after each atom.
Fractional positions:
F (0.0000, 0.5000, 0.0000)  2 Pt 2.29
N (0.0000, 0.0000, 0.5000)  2 Pt 1.86
F (0.5000, 0.0000, 0.0000)  2 Pt 2.29
Hg (0.5000, 0.5000, 0.5000)  8 F 2.95, 4 N 3.24
Pt (0.0000, 0.0000, 0.0000)  2 N 1.86

=====

Entry 4:
DFT (PBE-GGA) results for RbHgNF2 after structural relaxation.

Calculated values
Energy above the most stable polymorph in this dataset   0.0 meV/atom
Raw formation energy   -0.69 eV/atom
Total magnetization   1.9 μB/f.u.
SG   P4/mmm (123)

Cell lengths 4.9340, 4.9340, 4.1795 Å; angles 90.00, 90.00, 90.00 degrees
With the nearest neighbours (Å) after each atom.
Fractional positions:
Rb (0.5000, 0.5000, 0.5000)  8 F 3.23, 4 N 3.49
F (0.5000, 0.0000, 0.0000)  2 Hg 2.47
F (0.0000, 0.5000, 0.0000)  2 Hg 2.47
Hg (0.0000, 0.0000, 0.0000)  2 N 2.09
N (0.0000, 0.0000, 0.5000)  2 Hg 2.09

=====

| no. | DFT total energy (eV per atom) |
| --- | --- |
| 1 | -3.460 |
| 2 | -2.799 |
| 3 | -3.800 |
| 4 | -3.353 |